# 1
# PBE CrN2, optimized geometry
data_CrN2
_symmetry_space_group_name_H-M 'P 1'
_symmetry_Int_Tables_number 1
_symmetry_space_group_name_Hall 'P 1'
_cell_length_a 5.118
_cell_length_b 5.370
_cell_length_c 6.629
_cell_angle_alpha 91.75
_cell_angle_beta 92.98
_cell_angle_gamma 110.78
loop_
_atom_site_label
_atom_site_fract_x
_atom_site_fract_y
_atom_site_fract_z
_atom_site_occupancy
Cr1 0.000 0.000 0.000 1
Cr2 0.108 0.787 0.569 1
Cr3 0.303 0.595 0.956 1
Cr4 0.578 0.281 0.295 1
N1 0.004 0.994 0.746 1
N2 0.126 0.776 0.091 1
N3 0.247 0.583 0.683 1
N4 0.320 0.323 0.095 1
N5 0.364 0.031 0.444 1
N6 0.622 0.794 0.994 1
N7 0.790 0.175 0.168 1
N8 0.807 0.573 0.426 1
# uncorrected formation energy	243.9	meV/atom

# 2
# PBE Zr2TiBi2, optimized geometry
data_Zr2TiBi2
_symmetry_space_group_name_H-M 'P 4/m b m'
_symmetry_Int_Tables_number 127
_symmetry_space_group_name_Hall '-P 4 2ab'
_cell_length_a 7.714
_cell_length_b 7.714
_cell_length_c 3.983
_cell_angle_alpha 90.00
_cell_angle_beta 90.00
_cell_angle_gamma 90.00
loop_
_atom_site_label
_atom_site_fract_x
_atom_site_fract_y
_atom_site_fract_z
_atom_site_occupancy
Zr1 0.151 0.349 0.000 1
Ti1 0.000 0.000 0.500 1
Bi1 0.151 0.651 0.500 1
# formation energy	-149	meV/atom

# 3
# PBE Ac2ZnPbN, optimized geometry
data_Ac2ZnPbN
_symmetry_space_group_name_H-M 'P 1 21/m 1'
_symmetry_Int_Tables_number 11
_symmetry_space_group_name_Hall '-P 2yb'
_cell_length_a 7.251
_cell_length_b 4.203
_cell_length_c 9.448
_cell_angle_alpha 90.00
_cell_angle_beta 110.30
_cell_angle_gamma 90.00
loop_
_atom_site_label
_atom_site_fract_x
_atom_site_fract_y
_atom_site_fract_z
_atom_site_occupancy
Ac1 0.203 0.250 0.464 1
Ac2 0.211 0.250 0.867 1
Zn1 0.458 0.750 0.732 1
Pb1 0.290 0.750 0.189 1
N1 0.164 0.750 0.670 1
# uncorrected formation energy	-635.1	meV/atom

# 4
# PBE CsSiAg3, optimized geometry
data_CsSiAg3
_symmetry_space_group_name_H-M 'C 1 2/c 1'
_symmetry_Int_Tables_number 15
_symmetry_space_group_name_Hall '-C 2yc'
_cell_length_a 12.471
_cell_length_b 10.913
_cell_length_c 8.160
_cell_angle_alpha 90.00
_cell_angle_beta 101.86
_cell_angle_gamma 90.00
loop_
_atom_site_label
_atom_site_fract_x
_atom_site_fract_y
_atom_site_fract_z
_atom_site_occupancy
Cs1 0.000 0.083 0.250 1
Cs2 0.000 0.416 0.250 1
Si1 0.095 0.250 0.806 1
Ag1 0.206 0.115 0.642 1
Ag2 0.206 0.386 0.643 1
Ag3 0.250 0.117 0.000 1
# uncorrected formation energy	98.2	meV/atom

# 5
# PBE Na2PrUSe4, optimized geometry
data_Na2PrUSe4
_symmetry_space_group_name_H-M 'P 1 2/m 1'
_symmetry_Int_Tables_number 10
_symmetry_space_group_name_Hall '-P 2y'
_cell_length_a 7.337
_cell_length_b 4.235
_cell_length_c 7.453
_cell_angle_alpha 90.00
_cell_angle_beta 109.16
_cell_angle_gamma 90.00
loop_
_atom_site_label
_atom_site_fract_x
_atom_site_fract_y
_atom_site_fract_z
_atom_site_occupancy
Na1 0.000 0.000 0.000 1
Na2 0.500 0.500 0.000 1
Pr1 0.000 0.500 0.500 1
U1 0.500 0.000 0.500 1
Se1 0.254 0.000 0.738 1
Se2 0.263 0.500 0.266 1
# uncorrected formation energy	-1412.8	meV/atom

# 6
# PBE Nd2Y8Al, optimized geometry
data_Nd2Y8Al
_symmetry_space_group_name_H-M 'C 1 2/m 1'
_symmetry_Int_Tables_number 12
_symmetry_space_group_name_Hall '-C 2y'
_cell_length_a 12.218
_cell_length_b 10.835
_cell_length_c 6.025
_cell_angle_alpha 90.00
_cell_angle_beta 106.18
_cell_angle_gamma 90.00
loop_
_atom_site_label
_atom_site_fract_x
_atom_site_fract_y
_atom_site_fract_z
_atom_site_occupancy
Nd1 0.134 0.000 0.494 1
Y1 0.079 0.500 0.284 1
Y2 0.089 0.238 0.814 1
Y3 0.239 0.500 0.894 1
Al1 0.000 0.000 0.000 1
# formation energy	308	meV/atom

# 7
# PBE AlAg5Au2, optimized geometry
data_AlAg5Au2
_symmetry_space_group_name_H-M 'P b a m'
_symmetry_Int_Tables_number 55
_symmetry_space_group_name_Hall '-P 2 2ab'
_cell_length_a 5.819
_cell_length_b 11.729
_cell_length_c 4.115
_cell_angle_alpha 90.00
_cell_angle_beta 90.00
_cell_angle_gamma 90.00
loop_
_atom_site_label
_atom_site_fract_x
_atom_site_fract_y
_atom_site_fract_z
_atom_site_occupancy
Al1 0.000 0.000 0.000 1
Ag1 0.000 0.500 0.000 1
Ag2 0.035 0.245 0.000 1
Ag3 0.216 0.631 0.500 1
Au1 0.214 0.887 0.500 1
# formation energy	-90	meV/atom

# 8
# PBE Sc4AgSe, optimized geometry
data_Sc4AgSe
_symmetry_space_group_name_H-M 'F -4 3 m'
_symmetry_Int_Tables_number 216
_symmetry_space_group_name_Hall 'F -4 2 3'
_cell_length_a 8.205
_cell_length_b 8.205
_cell_length_c 8.205
_cell_angle_alpha 90.00
_cell_angle_beta 90.00
_cell_angle_gamma 90.00
loop_
_atom_site_label
_atom_site_fract_x
_atom_site_fract_y
_atom_site_fract_z
_atom_site_occupancy
Sc1 0.125 0.125 0.125 1
Ag1 0.000 0.000 0.500 1
Se1 0.250 0.250 0.750 1
# uncorrected formation energy	214.2	meV/atom

# 9
# PBE YHfSb2Te, optimized geometry
data_YHfSb2Te
_symmetry_space_group_name_H-M 'P 4/m m m'
_symmetry_Int_Tables_number 123
_symmetry_space_group_name_Hall '-P 4 2'
_cell_length_a 5.481
_cell_length_b 5.481
_cell_length_c 5.510
_cell_angle_alpha 90.00
_cell_angle_beta 90.00
_cell_angle_gamma 90.00
loop_
_atom_site_label
_atom_site_fract_x
_atom_site_fract_y
_atom_site_fract_z
_atom_site_occupancy
Y1 0.000 0.000 0.000 1
Hf1 0.500 0.500 0.500 1
Sb1 0.000 0.500 0.500 1
Te1 0.500 0.500 0.000 1
# uncorrected formation energy	-93.1	meV/atom

# 10
# PBE La3Pm3Au4, optimized geometry
data_La3Pm3Au4
_symmetry_space_group_name_H-M 'A m m 2'
_symmetry_Int_Tables_number 38
_symmetry_space_group_name_Hall 'A 2 -2'
_cell_length_a 3.965
_cell_length_b 12.045
_cell_length_c 11.929
_cell_angle_alpha 90.00
_cell_angle_beta 90.00
_cell_angle_gamma 90.00
loop_
_atom_site_label
_atom_site_fract_x
_atom_site_fract_y
_atom_site_fract_z
_atom_site_occupancy
La1 0.000 0.000 0.000 1
La2 0.000 0.166 0.342 1
Pm1 0.000 0.000 0.670 1
Pm2 0.500 0.250 0.091 1
Au1 0.500 0.000 0.209 1
Au2 0.500 0.000 0.471 1
Au3 0.500 0.128 0.834 1
# formation energy	-653	meV/atom

# 11
# PBE BaHgOs2, optimized geometry
data_BaHgOs2
_symmetry_space_group_name_H-M 'P 1 2/m 1'
_symmetry_Int_Tables_number 10
_symmetry_space_group_name_Hall '-P 2y'
_cell_length_a 5.378
_cell_length_b 3.015
_cell_length_c 5.393
_cell_angle_alpha 90.00
_cell_angle_beta 109.28
_cell_angle_gamma 90.00
loop_
_atom_site_label
_atom_site_fract_x
_atom_site_fract_y
_atom_site_fract_z
_atom_site_occupancy
Ba1 0.000 0.000 0.000 1
Hg1 0.500 0.500 0.000 1
Os1 0.000 0.500 0.500 1
Os2 0.500 0.000 0.500 1
# formation energy	1322	meV/atom

# 12
# PBE VBi4Pd15, optimized geometry
data_VBi4Pd15
_symmetry_space_group_name_H-M 'P 4/m m m'
_symmetry_Int_Tables_number 123
_symmetry_space_group_name_Hall '-P 4 2'
_cell_length_a 4.087
_cell_length_b 4.087
_cell_length_c 20.527
_cell_angle_alpha 90.00
_cell_angle_beta 90.00
_cell_angle_gamma 90.00
loop_
_atom_site_label
_atom_site_fract_x
_atom_site_fract_y
_atom_site_fract_z
_atom_site_occupancy
V1 0.000 0.000 0.000 1
Bi1 0.000 0.000 0.192 1
Bi2 0.000 0.000 0.397 1
Pd1 0.000 0.500 0.089 1
Pd2 0.000 0.500 0.296 1
Pd3 0.000 0.500 0.500 1
Pd4 0.500 0.500 0.000 1
Pd5 0.500 0.500 0.194 1
Pd6 0.500 0.500 0.398 1
# formation energy	-224	meV/atom

# 13
# PBE Li2YSb, optimized geometry
data_Li2YSb
_symmetry_space_group_name_H-M 'R 3 m'
_symmetry_Int_Tables_number 160
_symmetry_space_group_name_Hall 'R 3 -2"'
_cell_length_a 4.4595
_cell_length_b 4.4595
_cell_length_c 15.6257
_cell_angle_alpha 90.00
_cell_angle_beta 90.00
_cell_angle_gamma 120.00
loop_
_atom_site_label
_atom_site_fract_x
_atom_site_fract_y
_atom_site_fract_z
_atom_site_occupancy
Li1 0.0000 0.0000 0.0000 1
Li2 0.0000 0.0000 0.2946 1
Y1 0.0000 0.0000 0.4994 1
Sb1 0.0000 0.0000 0.7109 1
# uncorrected formation energy	-528.9	meV/atom

# 14
# PBE KLiCo2, optimized geometry
data_KLiCo2
_symmetry_space_group_name_H-M 'I m m 2'
_symmetry_Int_Tables_number 44
_symmetry_space_group_name_Hall 'I 2 -2'
_cell_length_a 2.941
_cell_length_b 5.506
_cell_length_c 10.320
_cell_angle_alpha 90.00
_cell_angle_beta 90.00
_cell_angle_gamma 90.00
loop_
_atom_site_label
_atom_site_fract_x
_atom_site_fract_y
_atom_site_fract_z
_atom_site_occupancy
K1 0.000 0.000 0.000 1
Li1 0.000 0.500 0.802 1
Co1 0.000 0.000 0.543 1
Co2 0.000 0.500 0.201 1
# formation energy	754	meV/atom

# 15
# PBE BeCdAu2, optimized geometry
data_BeCdAu2
_symmetry_space_group_name_H-M 'R 3 m'
_symmetry_Int_Tables_number 160
_symmetry_space_group_name_Hall 'R 3 -2"'
_cell_length_a 3.0360
_cell_length_b 3.0360
_cell_length_c 25.5590
_cell_angle_alpha 90.00
_cell_angle_beta 90.00
_cell_angle_gamma 120.00
loop_
_atom_site_label
_atom_site_fract_x
_atom_site_fract_y
_atom_site_fract_z
_atom_site_occupancy
Be1 0.0000 0.0000 0.0000 1
Cd1 0.0000 0.0000 0.7492 1
Au1 0.0000 0.0000 0.2719 1
Au2 0.0000 0.0000 0.5106 1
# formation energy	102	meV/atom

# 16
# PBE TiSbOsC2, optimized geometry
data_TiSbOsC2
_symmetry_space_group_name_H-M 'P 4/m m m'
_symmetry_Int_Tables_number 123
_symmetry_space_group_name_Hall '-P 4 2'
_cell_length_a 4.118
_cell_length_b 4.118
_cell_length_c 5.127
_cell_angle_alpha 90.00
_cell_angle_beta 90.00
_cell_angle_gamma 90.00
loop_
_atom_site_label
_atom_site_fract_x
_atom_site_fract_y
_atom_site_fract_z
_atom_site_occupancy
Ti1 0.000 0.000 0.000 1
Sb1 0.500 0.500 0.500 1
Os1 0.500 0.500 0.000 1
C1 0.000 0.500 0.500 1
# uncorrected formation energy	2506.1	meV/atom

# 17
# PBE CsTaP2Cl, optimized geometry
data_CsTaP2Cl
_symmetry_space_group_name_H-M 'P 4/m m m'
_symmetry_Int_Tables_number 123
_symmetry_space_group_name_Hall '-P 4 2'
_cell_length_a 4.871
_cell_length_b 4.871
_cell_length_c 5.418
_cell_angle_alpha 90.00
_cell_angle_beta 90.00
_cell_angle_gamma 90.00
loop_
_atom_site_label
_atom_site_fract_x
_atom_site_fract_y
_atom_site_fract_z
_atom_site_occupancy
Cs1 0.000 0.000 0.000 1
Ta1 0.500 0.500 0.500 1
P1 0.000 0.500 0.500 1
Cl1 0.500 0.500 0.000 1
# uncorrected formation energy	-484.1	meV/atom

# 18
# PBE Ni2RhPbC, optimized geometry
data_Ni2RhPbC
_symmetry_space_group_name_H-M 'P 4/m m m'
_symmetry_Int_Tables_number 123
_symmetry_space_group_name_Hall '-P 4 2'
_cell_length_a 3.759
_cell_length_b 3.759
_cell_length_c 5.113
_cell_angle_alpha 90.00
_cell_angle_beta 90.00
_cell_angle_gamma 90.00
loop_
_atom_site_label
_atom_site_fract_x
_atom_site_fract_y
_atom_site_fract_z
_atom_site_occupancy
Ni1 0.000 0.500 0.000 1
Rh1 0.000 0.000 0.500 1
Pb1 0.500 0.500 0.500 1
C1 0.500 0.500 0.000 1
# formation energy	481	meV/atom

# 19
# PBE Nd4InAgO, optimized geometry
data_Nd4InAgO
_symmetry_space_group_name_H-M 'C m c m'
_symmetry_Int_Tables_number 63
_symmetry_space_group_name_Hall '-C 2c 2'
_cell_length_a 6.956
_cell_length_b 15.774
_cell_length_c 6.967
_cell_angle_alpha 90.00
_cell_angle_beta 90.00
_cell_angle_gamma 90.00
loop_
_atom_site_label
_atom_site_fract_x
_atom_site_fract_y
_atom_site_fract_z
_atom_site_occupancy
Nd1 0.000 0.066 0.250 1
Nd2 0.000 0.420 0.250 1
Nd3 0.250 0.250 0.000 1
In1 0.000 0.383 0.750 1
Ag1 0.000 0.121 0.750 1
O1 0.000 0.254 0.250 1
# uncorrected formation energy	-943.8	meV/atom

# 20
# PBE VAsSeN2, optimized geometry
data_VAsSeN2
_symmetry_space_group_name_H-M 'P 4/m m m'
_symmetry_Int_Tables_number 123
_symmetry_space_group_name_Hall '-P 4 2'
_cell_length_a 3.785
_cell_length_b 3.785
_cell_length_c 5.250
_cell_angle_alpha 90.00
_cell_angle_beta 90.00
_cell_angle_gamma 90.00
loop_
_atom_site_label
_atom_site_fract_x
_atom_site_fract_y
_atom_site_fract_z
_atom_site_occupancy
V1 0.000 0.000 0.000 1
As1 0.500 0.500 0.500 1
Se1 0.000 0.000 0.500 1
N1 0.000 0.500 0.000 1
# uncorrected formation energy	506.5	meV/atom

# 21
# PBE SmEr4Ru5, optimized geometry
data_SmEr4Ru5
_symmetry_space_group_name_H-M 'P 4/m m m'
_symmetry_Int_Tables_number 123
_symmetry_space_group_name_Hall '-P 4 2'
_cell_length_a 3.391
_cell_length_b 3.391
_cell_length_c 16.925
_cell_angle_alpha 90.00
_cell_angle_beta 90.00
_cell_angle_gamma 90.00
loop_
_atom_site_label
_atom_site_fract_x
_atom_site_fract_y
_atom_site_fract_z
_atom_site_occupancy
Sm1 0.000 0.000 0.000 1
Er1 0.000 0.000 0.203 1
Er2 0.000 0.000 0.401 1
Ru1 0.500 0.500 0.104 1
Ru2 0.500 0.500 0.302 1
Ru3 0.500 0.500 0.500 1
# formation energy	-336	meV/atom

# 22
# PBE Be2Ga2Ir, optimized geometry
data_Be2Ga2Ir
_symmetry_space_group_name_H-M 'P 4/m b m'
_symmetry_Int_Tables_number 127
_symmetry_space_group_name_Hall '-P 4 2ab'
_cell_length_a 6.103
_cell_length_b 6.103
_cell_length_c 3.361
_cell_angle_alpha 90.00
_cell_angle_beta 90.00
_cell_angle_gamma 90.00
loop_
_atom_site_label
_atom_site_fract_x
_atom_site_fract_y
_atom_site_fract_z
_atom_site_occupancy
Be1 0.131 0.369 0.000 1
Ga1 0.167 0.667 0.500 1
Ir1 0.000 0.000 0.000 1
# formation energy	16	meV/atom

# 23
# PBE Ca2TmUSb4, optimized geometry
data_Ca2TmUSb4
_symmetry_space_group_name_H-M 'P 1 2/m 1'
_symmetry_Int_Tables_number 10
_symmetry_space_group_name_Hall '-P 2y'
_cell_length_a 7.628
_cell_length_b 4.457
_cell_length_c 7.736
_cell_angle_alpha 90.00
_cell_angle_beta 109.29
_cell_angle_gamma 90.00
loop_
_atom_site_label
_atom_site_fract_x
_atom_site_fract_y
_atom_site_fract_z
_atom_site_occupancy
Ca1 0.000 0.000 0.000 1
Ca2 0.500 0.500 0.000 1
Tm1 0.000 0.500 0.500 1
U1 0.500 0.000 0.500 1
Sb1 0.249 0.000 0.733 1
Sb2 0.259 0.500 0.268 1
# uncorrected formation energy	-767.0	meV/atom

# 24
# PBE BiIrSe2, optimized geometry
data_BiIrSe2
_symmetry_space_group_name_H-M 'R -3 m'
_symmetry_Int_Tables_number 166
_symmetry_space_group_name_Hall '-R 3 2"'
_cell_length_a 3.7292
_cell_length_b 3.7292
_cell_length_c 25.5652
_cell_angle_alpha 90.00
_cell_angle_beta 90.00
_cell_angle_gamma 120.00
loop_
_atom_site_label
_atom_site_fract_x
_atom_site_fract_y
_atom_site_fract_z
_atom_site_occupancy
Bi1 0.0000 0.0000 0.0000 1
Ir1 0.0000 0.0000 0.5000 1
Se1 0.0000 0.0000 0.1170 1
# uncorrected formation energy	-210.0	meV/atom

Calculated volume for the records above, in order: 42 118 135 136 219 383 140 138 166 285 83 343 90 84 68 87 129 72 191 75 195 63 248 103 Å³/f.u.